Record 1
Ca2IrPtW | PBE | optimized geometry

Calculated values
**E_tot**: -5.2884 eV per atom

abc: 5.310 5.310 4.825
angles: 90.00 90.00 90.00
Space group P4/mmm (No. 123)
Asymmetric unit:
Ca 0.000 0.500 0.000 x2
Ir 0.000 0.000 0.500 x1
Pt 0.000 0.000 0.000 x1
W 0.500 0.500 0.500 x1

Record 2
PrEuTmIn | PBE | optimized geometry

Calculated values
**E_tot**: -5.6886 eV per atom

abc: 7.875 7.875 7.875
angles: 90.00 90.00 90.00
Space group F-43m (No. 216)
Asymmetric unit:
Pr 0.000 0.000 0.000 x4
Eu 0.250 0.250 0.250 x4
Tm 0.000 0.000 0.500 x4
In 0.250 0.250 0.750 x4